Entry 1:
{
  "formula": "RbRu2BrF",
  "functional": "PBE-GGA",
  "state": "optimized geometry",
  "lattice_angstrom": [[4.346, 0.000, 0.000], [0.000, 4.346, 0.000], [0.000, 0.000, 6.727]],
  "species": ["Rb", "Ru", "Ru", "Br", "F"],
  "fractional_positions": [[0.000, 0.000, 0.000], [0.000, 0.500, 0.500], [0.500, 0.000, 0.500], [0.500, 0.500, 0.000], [0.500, 0.500, 0.500]]
}


Entry 2:
{
  "formula": "Rb2RuBrF6",
  "functional": "PBE-GGA",
  "state": "optimized geometry",
  "lattice_angstrom": [[0.000, 4.881, 4.881], [4.881, 0.000, 4.881], [4.881, 4.881, 0.000]],
  "species": ["Rb", "Rb", "Ru", "Br", "F", "F", "F", "F", "F", "F"],
  "fractional_positions": [[0.250, 0.250, 0.250], [0.750, 0.750, 0.750], [0.000, 0.000, 0.000], [0.500, 0.500, 0.500], [0.197, 0.197, 0.803], [0.197, 0.803, 0.197], [0.197, 0.803, 0.803], [0.803, 0.197, 0.197], [0.803, 0.197, 0.803], [0.803, 0.803, 0.197]]
}


Entry 3:
{
  "formula": "Rb2SBr6F",
  "functional": "PBE-GGA",
  "state": "optimized geometry",
  "lattice_angstrom": [[-3.631, 3.631, 5.613], [3.631, -3.631, 5.613], [3.631, 3.631, -5.613]],
  "species": ["Rb", "Rb", "S", "Br", "Br", "Br", "Br", "Br", "Br", "F"],
  "fractional_positions": [[0.250, 0.750, 0.500], [0.750, 0.250, 0.500], [0.000, 0.000, 0.000], [0.224, 0.224, 0.000], [0.244, 0.244, 0.488], [0.244, 0.756, 0.000], [0.756, 0.244, 0.000], [0.756, 0.756, 0.512], [0.776, 0.776, 0.000], [0.500, 0.500, 0.000]]
}


Entry 4:
{
  "formula": "RbSBr2F",
  "functional": "PBE-GGA",
  "state": "optimized geometry",
  "lattice_angstrom": [[5.106, 0.000, 0.000], [0.000, 5.106, 0.000], [0.000, 0.000, 5.453]],
  "species": ["Rb", "S", "Br", "Br", "F"],
  "fractional_positions": [[0.000, 0.000, 0.000], [0.500, 0.500, 0.000], [0.000, 0.500, 0.500], [0.500, 0.000, 0.500], [0.000, 0.000, 0.500]]
}


Entry 5:
{
  "formula": "Rb2SBrF6",
  "functional": "PBE-GGA",
  "state": "optimized geometry",
  "lattice_angstrom": [[-3.357, 3.357, 4.717], [3.357, -3.357, 4.717], [3.357, 3.357, -4.717]],
  "species": ["Rb", "Rb", "S", "Br", "F", "F", "F", "F", "F", "F"],
  "fractional_positions": [[0.250, 0.750, 0.500], [0.750, 0.250, 0.500], [0.000, 0.000, 0.000], [0.500, 0.500, 0.000], [0.190, 0.190, 0.380], [0.190, 0.810, 0.000], [0.191, 0.191, 0.000], [0.809, 0.809, 0.000], [0.810, 0.190, 0.000], [0.810, 0.810, 0.620]]
}


Entry 6:
{
  "formula": "Rb2SbBr4F2",
  "functional": "PBE-GGA",
  "state": "optimized geometry",
  "lattice_angstrom": [[6.193, -3.791, 0.000], [6.193, 3.791, 0.000], [-3.176, 0.000, 6.263]],
  "species": ["Rb", "Rb", "Sb", "Br", "Br", "Br", "Br", "F", "F"],
  "fractional_positions": [[0.220, 0.220, 0.291], [0.780, 0.780, 0.709], [0.500, 0.500, 0.000], [0.177, 0.695, 0.195], [0.305, 0.823, 0.805], [0.695, 0.177, 0.195], [0.823, 0.305, 0.805], [0.329, 0.329, 0.738], [0.671, 0.671, 0.262]]
}


Entry 7:
{
  "formula": "Rb2SbBrF6",
  "functional": "PBE-GGA",
  "state": "optimized geometry",
  "lattice_angstrom": [[0.000, 5.004, 5.004], [5.004, 0.000, 5.004], [5.004, 5.004, 0.000]],
  "species": ["Rb", "Rb", "Sb", "Br", "F", "F", "F", "F", "F", "F"],
  "fractional_positions": [[0.250, 0.250, 0.250], [0.750, 0.750, 0.750], [0.000, 0.000, 0.000], [0.500, 0.500, 0.500], [0.194, 0.194, 0.806], [0.194, 0.806, 0.194], [0.194, 0.806, 0.806], [0.806, 0.194, 0.194], [0.806, 0.194, 0.806], [0.806, 0.806, 0.194]]
}


Entry 8:
{
  "formula": "Rb2SbBr6F",
  "functional": "PBE-GGA",
  "state": "optimized geometry",
  "lattice_angstrom": [[-3.813, 3.813, 5.565], [3.813, -3.813, 5.565], [3.813, 3.813, -5.565]],
  "species": ["Rb", "Rb", "Sb", "Br", "Br", "Br", "Br", "Br", "Br", "F"],
  "fractional_positions": [[0.250, 0.750, 0.500], [0.750, 0.250, 0.500], [0.000, 0.000, 0.000], [0.239, 0.239, 0.000], [0.245, 0.245, 0.490], [0.245, 0.755, 0.000], [0.755, 0.245, 0.000], [0.755, 0.755, 0.510], [0.761, 0.761, 0.000], [0.500, 0.500, 0.000]]
}


Entry 9:
{
  "formula": "RbSbBr2F",
  "functional": "PBE-GGA",
  "state": "optimized geometry",
  "lattice_angstrom": [[6.040, 0.000, 0.000], [0.000, 6.040, 0.000], [0.000, 0.000, 4.469]],
  "species": ["Rb", "Sb", "Br", "Br", "F"],
  "fractional_positions": [[0.000, 0.000, 0.000], [0.500, 0.500, 0.500], [0.000, 0.500, 0.500], [0.500, 0.000, 0.500], [0.500, 0.500, 0.000]]
}


Entry 10:
{
  "formula": "RbScBr2F",
  "functional": "PBE-GGA",
  "state": "optimized geometry",
  "lattice_angstrom": [[5.705, 0.000, 0.000], [0.000, 5.705, 0.000], [0.000, 0.000, 4.194]],
  "species": ["Rb", "Sc", "Br", "Br", "F"],
  "fractional_positions": [[0.000, 0.000, 0.000], [0.500, 0.500, 0.500], [0.000, 0.500, 0.500], [0.500, 0.000, 0.500], [0.500, 0.500, 0.000]]
}


Entry 11:
{
  "formula": "RbSe2BrF",
  "functional": "PBE-GGA",
  "state": "optimized geometry",
  "e_above_lowest_polymorph_mev_per_atom": 859,
  "lattice_angstrom": [[7.139, 0.000, 0.000], [0.000, 7.139, 0.000], [0.000, 0.000, 6.392]],
  "species": ["Rb", "Se", "Se", "Br", "F"],
  "fractional_positions": [[0.000, 0.000, 0.000], [0.000, 0.500, 0.000], [0.500, 0.000, 0.000], [0.000, 0.000, 0.500], [0.500, 0.500, 0.500]]
}


Entry 12:
{
  "formula": "RbSe2BrF",
  "functional": "PBE-GGA",
  "state": "optimized geometry",
  "e_above_lowest_polymorph_mev_per_atom": 60,
  "lattice_angstrom": [[5.201, 0.000, 0.000], [0.000, 5.201, 0.000], [0.000, 0.000, 5.177]],
  "species": ["Rb", "Se", "Se", "Br", "F"],
  "fractional_positions": [[0.000, 0.000, 0.000], [0.000, 0.500, 0.500], [0.500, 0.000, 0.500], [0.500, 0.500, 0.500], [0.500, 0.500, 0.000]]
}


| no. | formation energy from raw total energies (meV per atom) | mass density (g/cm³) |
| --- | --- | --- |
| 1 | 455 | 5.05 |
| 2 | -1944 | 3.33 |
| 3 | -749 | 3.94 |
| 4 | -192 | 3.46 |
| 5 | -1782 | 3.10 |
| 6 | -1561 | 3.67 |
| 7 | -2268 | 3.22 |
| 8 | -1069 | 4.06 |
| 9 | -1315 | 3.93 |
| 10 | -2090 | 3.76 |
| 11 | 456 | 1.75 |
| 12 | -343 | 4.06 |